No. 1
This record from the Open Quantum Materials Database describes crystalline Sc3In3PdPt at its relaxed geometry. The functional is GGA-PBE.

The volume comes out at 165.4 Å³/cell. The energy comes out at -44.63 eV/cell.

It has space group P-6 (No. 174), with a = 7.5261 Å, b = 7.5261 Å, c = 3.3724 Å, α = 90.00°, β = 90.00° and γ = 120.00°. The asymmetric unit holds Sc at (0.0874, 0.7480, 0.0000), In at (0.4290, 0.0996, 0.5000), Pd at (0.0000, 0.0000, 0.5000) and Pt at (0.3333, 0.6667, 0.5000).

***

No. 2
This record from the Open Quantum Materials Database describes crystalline Y3Mg3TlZnCu at its relaxed geometry. The functional is GGA-PBE.

The volume comes out at 209.7 Å³/cell. The energy comes out at -34.01 eV/cell.

It has space group P-6 (No. 174), with a = 7.6211 Å, b = 7.6211 Å, c = 4.1683 Å, α = 90.00°, β = 90.00° and γ = 120.00°. The asymmetric unit holds Y at (0.0149, 0.6016, 0.0000), Mg at (0.0044, 0.2402, 0.5000), Tl at (0.6667, 0.3333, 0.5000), Zn at (0.3333, 0.6667, 0.5000) and Cu at (0.0000, 0.0000, 0.0000).

***

No. 3
This record from the Open Quantum Materials Database describes crystalline HoTcAs at its relaxed geometry. The functional is GGA-PBE.

The volume comes out at 250.9 Å³/cell. The energy comes out at -80.99 eV/cell.

It has space group F-43m (No. 216), with a = 6.3068 Å, b = 6.3068 Å, c = 6.3068 Å, α = 90.00°, β = 90.00° and γ = 90.00°. The asymmetric unit holds Ho at (0.0000, 0.0000, 0.0000), Tc at (0.0000, 0.0000, 0.5000) and As at (0.2500, 0.2500, 0.2500).

***

No. 4
This record from the Open Quantum Materials Database describes crystalline ZnFeMo4N2 at its relaxed geometry. The functional is GGA-PBE.

The volume comes out at 100.6 Å³/cell. The energy comes out at -69.57 eV/cell.

It has space group P-6m2 (No. 187), with a = 2.8346 Å, b = 2.8346 Å, c = 14.4610 Å, α = 90.00°, β = 90.00° and γ = 120.00°. The asymmetric unit holds Zn at (0.0000, 0.0000, 0.0000), Fe at (0.3333, 0.6667, 0.5000), Mo at (0.0000, 0.0000, 0.3513), Mo at (0.3333, 0.6667, 0.1579) and N at (0.6667, 0.3333, 0.2538).

***

No. 5
This record from the Open Quantum Materials Database describes crystalline TmClO at its relaxed geometry. The functional is GGA-PBE.

The volume comes out at 106.0 Å³/cell. The energy comes out at -41.04 eV/cell.

It has space group P4/nmm (No. 129, origin choice 2), with a = 3.7337 Å, b = 3.7337 Å, c = 7.6008 Å, α = 90.00°, β = 90.00° and γ = 90.00°. The asymmetric unit holds Tm at (0.2500, 0.2500, 0.1490), Cl at (0.2500, 0.2500, 0.6598) and O at (0.2500, 0.7500, 0.0000).

***

No. 6
This record from the Open Quantum Materials Database describes crystalline NbCo at its relaxed geometry. The functional is GGA-PBE.

The volume comes out at 29.4 Å³/cell. The calculation puts the formation energy at -0.02 eV per atom. The energy comes out at -17.24 eV/cell.

It has space group Pm-3m (No. 221), with a = 3.0858 Å, b = 3.0858 Å, c = 3.0858 Å, α = 90.00°, β = 90.00° and γ = 90.00°. The asymmetric unit holds Nb at (0.0000, 0.0000, 0.0000) and Co at (0.5000, 0.5000, 0.5000).